1.
TiZn2I: relaxed, PBE.

Computed properties:
Its crystal system is tetragonal. The energy above the lowest structure with this stoichiometry comes out at 0.000 eV per atom. Its formation energy (no corrections) is 0.358 eV per atom. The volume is 181.55 Å³/cell. The calculation puts the density of states at the Fermi level at 6.4 states/eV/cell. The electronic total energy is -2.640 eV/atom.

Cell and atoms, written as CIF:
```
data_TiZn2I
_symmetry_space_group_name_H-M 'P 1'
_symmetry_Int_Tables_number 1
_cell_length_a 6.3316
_cell_length_b 6.3316
_cell_length_c 6.3316
_cell_angle_alpha 101.52
_cell_angle_beta 101.52
_cell_angle_gamma 126.91
loop_
_symmetry_equiv_pos_as_xyz
'x,y,z'
loop_
_atom_site_label
_atom_site_type_symbol
_atom_site_fract_x
_atom_site_fract_y
_atom_site_fract_z
Ti1 Ti 0.0000 0.0000 0.0000
Ti2 Ti 0.7500 0.2500 0.5000
Zn1 Zn 0.1001 0.1250 0.4751
Zn2 Zn 0.3750 0.8999 0.0249
Zn3 Zn 0.6499 0.6250 0.5249
Zn4 Zn 0.8750 0.3501 0.9751
I1 I 0.2500 0.7500 0.5000
I2 I 0.5000 0.5000 0.0000
```

=====

2.
NpSiIr2: relaxed, PBE.

Computed properties:
Its crystal system is trigonal. Its formation energy (no corrections) is -0.456 eV per atom. The volume is 70.56 Å³/cell. The calculation puts the density of states at the Fermi level at 7.1 states/eV/cell. The electronic total energy is -9.477 eV/atom.

Cell and atoms, written as CIF:
```
data_NpSiIr2
_symmetry_space_group_name_H-M 'P 1'
_symmetry_Int_Tables_number 1
_cell_length_a 5.4318
_cell_length_b 5.4318
_cell_length_c 5.4318
_cell_angle_alpha 44.12
_cell_angle_beta 44.12
_cell_angle_gamma 44.12
loop_
_symmetry_equiv_pos_as_xyz
'x,y,z'
loop_
_atom_site_label
_atom_site_type_symbol
_atom_site_fract_x
_atom_site_fract_y
_atom_site_fract_z
Np1 Np 0.0000 0.0000 0.0000
Si1 Si 0.5000 0.5000 0.5000
Ir1 Ir 0.2208 0.2208 0.2208
Ir2 Ir 0.7792 0.7792 0.7792
```

=====

3.
TmP5: relaxed, PBE.

Computed properties:
Its crystal system is monoclinic. The volume is 239.19 Å³/cell. The calculated formation energy comes out at -3.119 eV/f.u. The calculation puts the density of states at the Fermi level at 0.0 states/eV/cell. The electronic total energy is -5.773 eV/atom.

Cell and atoms, written as CIF:
```
data_TmP5
_symmetry_space_group_name_H-M 'P 1'
_symmetry_Int_Tables_number 1
_cell_length_a 4.9191
_cell_length_b 9.3599
_cell_length_c 5.3179
_cell_angle_alpha 90.00
_cell_angle_beta 102.34
_cell_angle_gamma 90.00
loop_
_symmetry_equiv_pos_as_xyz
'x,y,z'
loop_
_atom_site_label
_atom_site_type_symbol
_atom_site_fract_x
_atom_site_fract_y
_atom_site_fract_z
Tm1 Tm 0.0025 0.2500 0.3467
Tm2 Tm 0.9975 0.7500 0.6533
P1 P 0.2711 0.2500 0.8908
P2 P 0.2832 0.5283 0.4055
P3 P 0.2832 0.9717 0.4055
P4 P 0.3834 0.5934 0.0434
P5 P 0.3834 0.9066 0.0434
P6 P 0.6166 0.0934 0.9566
P7 P 0.6166 0.4066 0.9566
P8 P 0.7168 0.0283 0.5945
P9 P 0.7168 0.4717 0.5945
P10 P 0.7289 0.7500 0.1092
```

=====

4.
PuCd5Hg4Bi: relaxed, PBE.

Computed properties:
Its crystal system is tetragonal. The volume is 299.63 Å³/cell. The calculated formation energy comes out at 0.501 eV/f.u. The calculation puts the density of states at the Fermi level at 19.6 states/eV/cell. The electronic total energy is -2.136 eV/atom.

Cell and atoms, written as CIF:
```
data_PuCd5Hg4Bi
_symmetry_space_group_name_H-M 'P 1'
_symmetry_Int_Tables_number 1
_cell_length_a 5.4836
_cell_length_b 5.4836
_cell_length_c 9.9645
_cell_angle_alpha 90.00
_cell_angle_beta 90.00
_cell_angle_gamma 90.00
loop_
_symmetry_equiv_pos_as_xyz
'x,y,z'
loop_
_atom_site_label
_atom_site_type_symbol
_atom_site_fract_x
_atom_site_fract_y
_atom_site_fract_z
Pu1 Pu 0.0000 0.0000 0.0000
Cd1 Cd 0.0000 0.5000 0.1954
Cd2 Cd 0.0000 0.5000 0.8046
Cd3 Cd 0.5000 0.0000 0.1954
Cd4 Cd 0.5000 0.0000 0.8046
Cd5 Cd 0.5000 0.5000 0.5000
Hg1 Hg 0.0000 0.0000 0.3259
Hg2 Hg 0.0000 0.0000 0.6741
Hg3 Hg 0.0000 0.5000 0.5000
Hg4 Hg 0.5000 0.0000 0.5000
Bi1 Bi 0.5000 0.5000 0.0000
```

=====

5.
BaTm2S4: relaxed, PBE.

Computed properties:
Its crystal system is orthorhombic. The energy above the lowest structure with this stoichiometry comes out at 0.029 eV per atom. Its formation energy (no corrections) is -2.113 eV per atom. The volume is 355.48 Å³/cell. The electronic total energy is -6.024 eV/atom.

Cell and atoms, written as CIF:
```
data_BaTm2S4
_symmetry_space_group_name_H-M 'P 1'
_symmetry_Int_Tables_number 1
_cell_length_a 6.8315
_cell_length_b 6.8315
_cell_length_c 13.5803
_cell_angle_alpha 90.00
_cell_angle_beta 90.00
_cell_angle_gamma 145.88
loop_
_symmetry_equiv_pos_as_xyz
'x,y,z'
loop_
_atom_site_label
_atom_site_type_symbol
_atom_site_fract_x
_atom_site_fract_y
_atom_site_fract_z
Ba1 Ba 0.1103 0.8897 0.7500
Ba2 Ba 0.8897 0.1103 0.2500
Tm1 Tm 0.3652 0.6348 0.5669
Tm2 Tm 0.3652 0.6348 0.9331
Tm3 Tm 0.6348 0.3652 0.0669
Tm4 Tm 0.6348 0.3652 0.4331
S1 S 0.0000 0.0000 0.0000
S2 S 0.0000 0.0000 0.5000
S3 S 0.2660 0.7340 0.1085
S4 S 0.2660 0.7340 0.3915
S5 S 0.4314 0.5686 0.7500
S6 S 0.5686 0.4314 0.2500
S7 S 0.7340 0.2660 0.6085
S8 S 0.7340 0.2660 0.8915
```

=====

6.
La3AuO: relaxed, PBE.

Computed properties:
Its crystal system is tetragonal. The energy above the lowest structure with this stoichiometry comes out at 0.415 eV per atom. Its formation energy (no corrections) is -1.045 eV per atom. The volume is 302.06 Å³/cell. The calculation puts the density of states at the Fermi level at 16.6 states/eV/cell. The electronic total energy is -5.649 eV/atom.

Cell and atoms, written as CIF:
```
data_La3AuO
_symmetry_space_group_name_H-M 'P 1'
_symmetry_Int_Tables_number 1
_cell_length_a 8.0770
_cell_length_b 8.0770
_cell_length_c 8.0770
_cell_angle_alpha 129.97
_cell_angle_beta 129.97
_cell_angle_gamma 73.46
loop_
_symmetry_equiv_pos_as_xyz
'x,y,z'
loop_
_atom_site_label
_atom_site_type_symbol
_atom_site_fract_x
_atom_site_fract_y
_atom_site_fract_z
La1 La 0.1237 0.1237 0.0000
La2 La 0.3583 0.6164 0.7419
La3 La 0.3836 0.1254 0.7419
La4 La 0.3836 0.6417 0.2581
La5 La 0.8746 0.6164 0.2581
La6 La 0.8763 0.8763 0.0000
Au1 Au 0.5910 0.0910 0.5000
Au2 Au 0.9090 0.4090 0.5000
O1 O 0.2500 0.7500 0.5000
O2 O 0.5000 0.5000 0.0000
```

=====

7.
ScMnTe2: relaxed, PBE.

Computed properties:
Its crystal system is tetragonal. Its formation energy (no corrections) is -0.053 eV per atom. The volume is 232.33 Å³/cell. The calculation puts the density of states at the Fermi level at 18.4 states/eV/cell. The electronic total energy is -5.499 eV/atom.

Cell and atoms, written as CIF:
```
data_ScMnTe2
_symmetry_space_group_name_H-M 'P 1'
_symmetry_Int_Tables_number 1
_cell_length_a 7.6853
_cell_length_b 7.6853
_cell_length_c 7.6853
_cell_angle_alpha 133.83
_cell_angle_beta 133.83
_cell_angle_gamma 67.36
loop_
_symmetry_equiv_pos_as_xyz
'x,y,z'
loop_
_atom_site_label
_atom_site_type_symbol
_atom_site_fract_x
_atom_site_fract_y
_atom_site_fract_z
Sc1 Sc 0.0000 0.0000 0.0000
Sc2 Sc 0.7500 0.2500 0.5000
Mn1 Mn 0.2500 0.7500 0.5000
Mn2 Mn 0.5000 0.5000 0.0000
Te1 Te 0.1727 0.6250 0.0477
Te2 Te 0.3750 0.4227 0.5477
Te3 Te 0.5773 0.1250 0.9523
Te4 Te 0.8750 0.8273 0.4523
```

=====

8.
NdZn2Cu10: relaxed, PBE.

Computed properties:
Its crystal system is orthorhombic. The volume is 182.17 Å³/cell. The calculated formation energy comes out at -1.186 eV/f.u. The calculation puts the density of states at the Fermi level at 4.0 states/eV/cell. The electronic total energy is -3.805 eV/atom.

Cell and atoms, written as CIF:
```
data_NdZn2Cu10
_symmetry_space_group_name_H-M 'P 1'
_symmetry_Int_Tables_number 1
_cell_length_a 8.6253
_cell_length_b 6.6585
_cell_length_c 6.4856
_cell_angle_alpha 82.01
_cell_angle_beta 49.86
_cell_angle_gamma 48.13
loop_
_symmetry_equiv_pos_as_xyz
'x,y,z'
loop_
_atom_site_label
_atom_site_type_symbol
_atom_site_fract_x
_atom_site_fract_y
_atom_site_fract_z
Nd1 Nd 0.0000 0.0000 0.0000
Zn1 Zn 0.0000 0.5000 0.0000
Zn2 Zn 0.5000 0.0000 0.5000
Cu1 Cu 0.0000 0.0000 0.5000
Cu2 Cu 0.0054 0.6434 0.3566
Cu3 Cu 0.2748 0.5019 0.4981
Cu4 Cu 0.3566 0.9946 0.0054
Cu5 Cu 0.4981 0.7252 0.2748
Cu6 Cu 0.5000 0.5000 0.0000
Cu7 Cu 0.5019 0.2748 0.7252
Cu8 Cu 0.6434 0.0054 0.9946
Cu9 Cu 0.7252 0.4981 0.5019
Cu10 Cu 0.9946 0.3566 0.6434
```

=====

9.
CaYV2: relaxed, PBE.

Computed properties:
Its crystal system is tetragonal. The energy above the lowest structure with this stoichiometry comes out at 0.351 eV per atom. The volume is 198.48 Å³/cell. The calculated formation energy comes out at 4.265 eV/f.u. The calculation puts the density of states at the Fermi level at 13.2 states/eV/cell. The electronic total energy is -5.609 eV/atom.

Cell and atoms, written as CIF:
```
data_CaYV2
_symmetry_space_group_name_H-M 'P 1'
_symmetry_Int_Tables_number 1
_cell_length_a 6.4605
_cell_length_b 6.4605
_cell_length_c 6.4605
_cell_angle_alpha 103.08
_cell_angle_beta 103.08
_cell_angle_gamma 123.19
loop_
_symmetry_equiv_pos_as_xyz
'x,y,z'
loop_
_atom_site_label
_atom_site_type_symbol
_atom_site_fract_x
_atom_site_fract_y
_atom_site_fract_z
Ca1 Ca 0.0000 0.0000 0.0000
Ca2 Ca 0.7500 0.2500 0.5000
Y1 Y 0.2500 0.7500 0.5000
Y2 Y 0.5000 0.5000 0.0000
V1 V 0.1286 0.1250 0.5036
V2 V 0.3750 0.8714 0.9964
V3 V 0.6214 0.6250 0.4964
V4 V 0.8750 0.3786 0.0036
```

=====

10.
La2WSe: relaxed, PBE.

Computed properties:
Its crystal system is orthorhombic. The energy above the lowest structure with this stoichiometry comes out at 0.053 eV per atom. Its formation energy (no corrections) is -0.234 eV per atom. The volume is 103.61 Å³/cell. The calculation puts the density of states at the Fermi level at 3.6 states/eV/cell. The electronic total energy is -6.807 eV/atom.

Cell and atoms, written as CIF:
```
data_La2WSe
_symmetry_space_group_name_H-M 'P 1'
_symmetry_Int_Tables_number 1
_cell_length_a 3.5989
_cell_length_b 3.5989
_cell_length_c 8.0850
_cell_angle_alpha 90.00
_cell_angle_beta 90.00
_cell_angle_gamma 98.35
loop_
_symmetry_equiv_pos_as_xyz
'x,y,z'
loop_
_atom_site_label
_atom_site_type_symbol
_atom_site_fract_x
_atom_site_fract_y
_atom_site_fract_z
La1 La 0.0000 0.0000 0.2468
La2 La 0.0000 0.0000 0.7532
W1 W 0.5000 0.5000 0.0000
Se1 Se 0.5000 0.5000 0.5000
```

=====

11.
Cs2U2PaTe6: relaxed, PBE.

Computed properties:
Its crystal system is monoclinic. Its formation energy (no corrections) is -0.865 eV per atom. The volume is 470.57 Å³/cell. The calculation puts the density of states at the Fermi level at 15.2 states/eV/cell. The electronic total energy is -5.650 eV/atom.

Cell and atoms, written as CIF:
```
data_Cs2U2PaTe6
_symmetry_space_group_name_H-M 'P 1'
_symmetry_Int_Tables_number 1
_cell_length_a 7.6383
_cell_length_b 7.6383
_cell_length_c 9.6615
_cell_angle_alpha 97.67
_cell_angle_beta 97.67
_cell_angle_gamma 119.98
loop_
_symmetry_equiv_pos_as_xyz
'x,y,z'
loop_
_atom_site_label
_atom_site_type_symbol
_atom_site_fract_x
_atom_site_fract_y
_atom_site_fract_z
Cs1 Cs 0.1668 0.8332 0.0000
Cs2 Cs 0.8332 0.1668 0.0000
U1 U 0.3323 0.6677 0.5000
U2 U 0.6677 0.3323 0.5000
Pa1 Pa 0.0000 0.0000 0.5000
Te1 Te 0.0678 0.3956 0.6931
Te2 Te 0.2681 0.2681 0.3086
Te3 Te 0.3956 0.0678 0.6931
Te4 Te 0.6044 0.9322 0.3069
Te5 Te 0.7319 0.7319 0.6914
Te6 Te 0.9322 0.6044 0.3069
```

=====

12.
CrTcBr2: relaxed, PBE.

Computed properties:
Its crystal system is orthorhombic. The energy above the lowest structure with this stoichiometry comes out at 0.727 eV per atom. Its formation energy (no corrections) is 0.790 eV per atom. The volume is 82.80 Å³/cell. The calculation puts the density of states at the Fermi level at 3.4 states/eV/cell. The electronic total energy is -5.044 eV/atom.

Cell and atoms, written as CIF:
```
data_CrTcBr2
_symmetry_space_group_name_H-M 'P 1'
_symmetry_Int_Tables_number 1
_cell_length_a 3.2048
_cell_length_b 4.2695
_cell_length_c 6.0516
_cell_angle_alpha 90.00
_cell_angle_beta 90.00
_cell_angle_gamma 90.00
loop_
_symmetry_equiv_pos_as_xyz
'x,y,z'
loop_
_atom_site_label
_atom_site_type_symbol
_atom_site_fract_x
_atom_site_fract_y
_atom_site_fract_z
Cr1 Cr 0.0000 0.0000 0.0000
Tc1 Tc 0.5000 0.0000 0.5000
Br1 Br 0.0000 0.5000 0.5000
Br2 Br 0.5000 0.5000 0.0000
```

=====

Record-wise total magnetic moment values, in μB per cell: 3.6, 3.1, 0.0, 5.7, 0.0, 0.0, 0.0, 0.0, 12.3, 1.5, 7.0, 6.2